Record 1
Dy6Y19Tm4 GGA-PBE relaxed; final energy = -5.423 eV per atom; SG = I23 (197); DOS at the Fermi energy = 45.330 states/eV/cell; ΔH_f (0 K) = 0.381 eV per atom
1.0
-6.222 6.222 6.222
6.222 -6.222 6.222
6.222 6.222 -6.222
Dy Y Tm
6 19 4
direct
0.125 0.500 0.625 Dy
0.375 0.875 0.500 Dy
0.500 0.375 0.875 Dy
0.500 0.625 0.125 Dy
0.625 0.125 0.500 Dy
0.875 0.500 0.375 Dy
0.000 0.000 0.000 Y
0.000 0.260 0.260 Y
0.000 0.740 0.740 Y
0.016 0.217 0.674 Y
0.201 0.984 0.658 Y
0.217 0.674 0.016 Y
0.260 0.000 0.260 Y
0.260 0.260 0.000 Y
0.326 0.543 0.342 Y
0.342 0.326 0.543 Y
0.457 0.783 0.799 Y
0.543 0.342 0.326 Y
0.658 0.201 0.984 Y
0.674 0.016 0.217 Y
0.740 0.000 0.740 Y
0.740 0.740 0.000 Y
0.783 0.799 0.457 Y
0.799 0.457 0.783 Y
0.984 0.658 0.201 Y
0.000 0.000 0.357 Tm
0.000 0.357 0.000 Tm
0.357 0.000 0.000 Tm
0.643 0.643 0.643 Tm

=====

Record 2
Pr6RhAu2 GGA-PBE relaxed; final energy = -5.211 eV per atom; SG = P2_1/c (14); DOS at the Fermi energy = 19.189 states/eV/cell; ΔH_f (0 K) = -0.480 eV per atom
1.0
6.999 0.000 0.000
0.000 7.581 0.000
-6.272 0.000 10.635
Pr Rh Au
12 2 4
direct
0.111 0.033 0.256 Pr
0.111 0.467 0.756 Pr
0.243 0.679 0.069 Pr
0.243 0.821 0.569 Pr
0.384 0.194 0.064 Pr
0.384 0.306 0.564 Pr
0.616 0.694 0.436 Pr
0.616 0.806 0.936 Pr
0.757 0.179 0.431 Pr
0.757 0.321 0.931 Pr
0.889 0.533 0.244 Pr
0.889 0.967 0.744 Pr
0.000 0.000 0.000 Rh
0.000 0.500 0.500 Rh
0.324 0.107 0.770 Au
0.324 0.393 0.270 Au
0.676 0.607 0.730 Au
0.676 0.893 0.230 Au

=====

Record 3
CaPOs2 GGA-PBE relaxed; final energy = -7.101 eV per atom; SG = Imm2 (44); DOS at the Fermi energy = 3.828 states/eV/cell; ΔH_f (0 K) = 0.367 eV per atom
1.0
-1.474 2.389 4.661
1.474 -2.389 4.661
1.474 2.389 -4.661
Ca P Os
1 1 2
direct
0.000 0.000 0.000 Ca
0.732 0.232 0.500 P
0.292 0.792 0.500 Os
0.531 0.531 0.000 Os

=====

Record 4
Re3AsO GGA-PBE relaxed; final energy = -8.534 eV per atom; SG = Pm-3m (221); relative energy among the computed polymorphs = 0.0000 eV/atom; DOS at the Fermi energy = 5.235 states/eV/cell; energy relative to the elements, uncorrected = 0.86 eV/atom
1.0
4.140 0.000 0.000
0.000 4.140 0.000
0.000 0.000 4.140
Re As O
3 1 1
direct
0.000 0.000 0.500 Re
0.000 0.500 0.000 Re
0.500 0.000 0.000 Re
0.500 0.500 0.500 As
0.000 0.000 0.000 O

=====

Record 5
CaYW GGA-PBE relaxed; final energy = -6.381 eV per atom; SG = Imm2 (44); relative energy among the computed polymorphs = 0.0646 eV/atom; DOS at the Fermi energy = 2.306 states/eV/cell; ΔH_f (0 K) = 0.759 eV per atom
1.0
-1.537 2.315 5.240
1.537 -2.315 5.240
1.537 2.315 -5.240
Ca Y W
1 1 1
direct
0.000 0.000 0.000 Ca
0.699 0.699 0.000 Y
0.327 0.327 0.000 W

=====

Record 6
Mg2BePb GGA-PBE relaxed; final energy = -2.396 eV per atom; SG = Imm2 (44); relative energy among the computed polymorphs = 0.1336 eV/atom; DOS at the Fermi energy = 1.635 states/eV/cell; ΔH_f (0 K) = 0.260 eV per atom
1.0
-1.573 2.252 6.142
1.573 -2.252 6.142
1.573 2.252 -6.142
Mg Be Pb
2 1 1
direct
0.000 0.000 0.000 Mg
0.681 0.181 0.500 Mg
0.502 0.502 0.000 Be
0.313 0.813 0.500 Pb

=====

Record 7
Cu5C3 GGA-PBE relaxed; final energy = -4.759 eV per atom; SG = Cmmm (65); relative energy among the computed polymorphs = 0.2020 eV/atom; DOS at the Fermi energy = 4.267 states/eV/cell; ΔH_f (0 K) = 1.260 eV per atom
1.0
2.934 -4.251 0.000
2.934 4.251 0.000
0.000 0.000 3.227
Cu C
5 3
direct
0.000 0.000 0.000 Cu
0.000 0.500 0.000 Cu
0.302 0.302 0.500 Cu
0.500 0.000 0.000 Cu
0.698 0.698 0.500 Cu
0.159 0.841 0.500 C
0.500 0.500 0.000 C
0.841 0.159 0.500 C

=====

Record 8
Li6HgAu GGA-PBE relaxed; final energy = -2.202 eV per atom; SG = Amm2 (38); relative energy among the computed polymorphs = 0.0000 eV/atom; DOS at the Fermi energy = 3.044 states/eV/cell; ΔH_f (0 K) = -0.319 eV per atom
1.0
4.723 0.000 0.000
0.000 2.863 4.961
0.000 -2.863 4.961
Li Hg Au
6 1 1
direct
0.000 0.000 0.000 Li
0.000 0.524 0.999 Li
0.000 0.999 0.524 Li
0.500 0.345 0.345 Li
0.500 0.345 0.834 Li
0.500 0.834 0.345 Li
0.000 0.508 0.508 Hg
0.500 0.842 0.842 Au

=====

Record 9
LaPr2Rh2 GGA-PBE relaxed; final energy = -6.329 eV per atom; SG = Cmc2_1 (36); relative energy among the computed polymorphs = 0.1008 eV/atom; DOS at the Fermi energy = 7.270 states/eV/cell; ΔH_f (0 K) = -0.491 eV per atom
1.0
2.067 -10.228 0.000
2.067 10.228 0.000
0.000 0.000 6.418
La Pr Rh
2 4 4
direct
0.132 0.868 0.500 La
0.868 0.132 0.000 La
0.319 0.681 0.491 Pr
0.496 0.504 0.731 Pr
0.504 0.496 0.231 Pr
0.681 0.319 0.991 Pr
0.073 0.927 0.974 Rh
0.285 0.715 0.992 Rh
0.715 0.285 0.492 Rh
0.927 0.073 0.474 Rh

=====

Record 10
Pm4Bi2SbPb GGA-PBE relaxed; final energy = -5.189 eV per atom; SG = P2/m (10); DOS at the Fermi energy = 4.070 states/eV/cell; energy relative to the elements, uncorrected = -0.86 eV/atom
1.0
7.872 0.000 0.000
0.000 4.518 0.000
-2.591 0.000 7.485
Pm Bi Sb Pb
4 2 1 1
direct
0.245 0.000 0.246 Pm
0.248 0.500 0.752 Pm
0.752 0.500 0.248 Pm
0.755 0.000 0.754 Pm
0.500 0.000 0.000 Bi
0.500 0.500 0.500 Bi
0.000 0.500 0.000 Sb
0.000 0.000 0.500 Pb

=====

Record 11
RbNa2UBr6 GGA-PBE relaxed; final energy = -3.977 eV per atom; SG = R3 (146); energy relative to the elements, uncorrected = -1.48 eV/atom
1.0
3.877 2.238 7.038
-3.877 2.238 7.038
0.000 -4.477 7.038
Rb Na U Br
1 2 1 6
direct
0.000 0.000 0.000 Rb
0.283 0.283 0.283 Na
0.798 0.798 0.798 Na
0.478 0.478 0.478 U
0.075 0.636 0.453 Br
0.214 0.556 0.872 Br
0.453 0.075 0.636 Br
0.556 0.872 0.214 Br
0.636 0.453 0.075 Br
0.872 0.214 0.556 Br

=====

Record 12
Li2TbIn GGA-PBE relaxed; final energy = -2.911 eV per atom; SG = P4/mmm (123); DOS at the Fermi energy = 3.971 states/eV/cell; ΔH_f (0 K) = -0.112 eV per atom
1.0
4.575 0.000 0.000
0.000 4.575 0.000
0.000 0.000 4.501
Li Tb In
2 1 1
direct
0.000 0.500 0.000 Li
0.500 0.000 0.000 Li
0.000 0.000 0.500 Tb
0.500 0.500 0.500 In